A plane-wave DFT calculation with PBE was carried out for a geometry-optimized BaTc3Rh structure.

Cell: 4.8474 4.8474 4.8474 Å, 90.00 90.00 90.00°
Fractional coordinates of all 5 atoms:
Ba1 0.0000 0.0000 0.0000
Tc1 0.0000 0.0000 0.5000
Tc2 0.0000 0.5000 0.0000
Tc3 0.5000 0.0000 0.0000
Rh1 0.5000 0.5000 0.5000

Values from the calculation:
Symmetry: Pm-3m (221)
E_form, eV per formula unit: 16.0
Calculated volume, A^3/atom: 22.78
Raw total energy, eV per atom: -4.87

=====

A plane-wave DFT calculation with PBE was carried out for a geometry-optimized CdSn5 structure.

Cell: 4.6923 7.7898 7.7898 Å, 34.82 90.00 90.00°
Fractional coordinates of all 6 atoms:
Cd1 0.0000 0.0000 0.0000
Sn1 0.0000 0.3350 0.3350
Sn2 0.0000 0.6652 0.6652
Sn3 0.5000 0.1626 0.1626
Sn4 0.5000 0.4998 0.4998
Sn5 0.5000 0.8366 0.8366

Values from the calculation:
Symmetry: Amm2 (38)
E_form, eV per formula unit: 0.4
Calculated volume, A^3/atom: 27.10
Raw total energy, eV per atom: -3.43

=====

A plane-wave DFT calculation with PBE was carried out for a geometry-optimized BiTeS2 structure.

Cell: 8.1443 4.5122 6.4901 Å, 90.00 98.71 90.00°
Fractional coordinates of all 8 atoms:
Bi1 0.0000 0.2187 0.2500
Bi2 0.0000 0.7813 0.7500
Te1 0.5000 0.0000 0.0000
Te2 0.5000 0.0000 0.5000
S1 0.1949 0.2256 0.9251
S2 0.1949 0.7744 0.4251
S3 0.8051 0.2256 0.5749
S4 0.8051 0.7744 0.0749

Values from the calculation:
Energy relative to the elements, uncorrected, eV per atom: -0.11
Symmetry: P2/c (13)
Calculated volume, A^3/atom: 29.47
Raw total energy, eV per atom: -3.93

=====

A plane-wave DFT calculation with PBE was carried out for a geometry-optimized LaYMo structure.

Cell: 4.8894 4.8894 3.6177 Å, 90.00 90.00 120.00°
Fractional coordinates of all 3 atoms:
La1 0.0000 0.0000 0.0000
Y1 0.3333 0.6667 0.5107
Mo1 0.6667 0.3333 0.0748

Values from the calculation:
Symmetry: P3m1 (156)
E_form, eV per formula unit: 1.2
Calculated volume, A^3/atom: 24.97
Raw total energy, eV per atom: -7.02

=====

A plane-wave DFT calculation with PBE was carried out for a geometry-optimized NaP2Au2 structure.

Cell: 7.8378 7.8378 3.0056 Å, 90.00 90.00 90.00°
Fractional coordinates of all 10 atoms:
Na1 0.0000 0.0000 0.0000
Na2 0.5000 0.5000 0.0000
P1 0.1485 0.3515 0.0000
P2 0.3515 0.8515 0.0000
P3 0.6485 0.1485 0.0000
P4 0.8515 0.6485 0.0000
Au1 0.1623 0.6623 0.5000
Au2 0.3377 0.1623 0.5000
Au3 0.6623 0.8377 0.5000
Au4 0.8377 0.3377 0.5000

Values from the calculation:
Symmetry: P4/mbm (127)
E_form, eV per formula unit: 0.7
Calculated volume, A^3/atom: 18.46
Raw total energy, eV per atom: -3.59

=====

A plane-wave DFT calculation with PBE was carried out for a geometry-optimized Sn2BiPd structure.

Cell: 10.4713 10.4713 10.4713 Å, 18.80 18.80 18.80°
Fractional coordinates of all 4 atoms:
Sn1 0.1032 0.1032 0.1032
Sn2 0.8968 0.8968 0.8968
Bi1 0.0000 0.0000 0.0000
Pd1 0.5000 0.5000 0.5000

Values from the calculation:
Symmetry: R-3m (166)
E_form, eV per formula unit: -0.6
Calculated volume, A^3/atom: 26.04
Raw total energy, eV per atom: -4.43

=====

A plane-wave DFT calculation with PBE was carried out for a geometry-optimized NdEuIrRh structure.

Cell: 4.9871 4.9871 4.9871 Å, 60.00 60.00 60.00°
Fractional coordinates of all 4 atoms:
Nd1 0.0000 0.0000 0.0000
Eu1 0.5000 0.5000 0.5000
Ir1 0.2500 0.2500 0.2500
Rh1 0.7500 0.7500 0.7500

Values from the calculation:
Symmetry: F-43m (216)
E_form, eV per formula unit: -1.8
Calculated volume, A^3/atom: 21.93
Raw total energy, eV per atom: -8.25

=====

A plane-wave DFT calculation with PBE was carried out for a geometry-optimized CdTePb6O10 structure.

Cell: 7.5260 7.5260 11.5310 Å, 90.00 90.00 102.89°
Fractional coordinates of all 36 atoms:
Cd1 0.0774 0.9226 0.7500
Cd2 0.9226 0.0774 0.2500
Te1 0.1762 0.1762 0.0000
Te2 0.8238 0.8238 0.5000
Pb1 0.0006 0.4228 0.7628
Pb2 0.1970 0.1970 0.5000
Pb3 0.2773 0.7200 0.9839
Pb4 0.2800 0.7227 0.5161
Pb5 0.4228 0.0006 0.2372
Pb6 0.4914 0.5086 0.2500
Pb7 0.5086 0.4914 0.7500
Pb8 0.5772 0.9994 0.7372
Pb9 0.7200 0.2773 0.0161
Pb10 0.7227 0.2800 0.4839
Pb11 0.8030 0.8030 0.0000
Pb12 0.9994 0.5772 0.2628
O1 0.0252 0.6802 0.8713
O2 0.0297 0.3103 0.0922
O3 0.0402 0.9170 0.3975
O4 0.0830 0.9598 0.1025
O5 0.2494 0.3866 0.8952
O6 0.2540 0.4880 0.6500
O7 0.3103 0.0297 0.9078
O8 0.3198 0.9748 0.6287
O9 0.3866 0.2494 0.1048
O10 0.4880 0.2540 0.3500
O11 0.5120 0.7460 0.8500
O12 0.6134 0.7506 0.6048
O13 0.6802 0.0252 0.1287
O14 0.6897 0.9703 0.4078
O15 0.7460 0.5120 0.1500
O16 0.7506 0.6134 0.3952
O17 0.9170 0.0402 0.6025
O18 0.9598 0.0830 0.8975
O19 0.9703 0.6897 0.5922
O20 0.9748 0.3198 0.3713

Values from the calculation:
Energy relative to the elements, uncorrected, eV per atom: -1.13
Symmetry: C222_1 (20)
Calculated volume, A^3/atom: 17.69
Raw total energy, eV per atom: -5.35

=====

A plane-wave DFT calculation with PBE was carried out for a geometry-optimized Rb2NdTmO4 structure.

Cell: 6.1709 3.5627 6.8900 Å, 90.00 107.29 90.00°
Fractional coordinates of all 8 atoms:
Rb1 0.0000 0.0000 0.0000
Rb2 0.5000 0.5000 0.0000
Nd1 0.0000 0.5000 0.5000
Tm1 0.5000 0.0000 0.5000
O1 0.2394 0.0000 0.6779
O2 0.2863 0.5000 0.3245
O3 0.7137 0.5000 0.6755
O4 0.7606 0.0000 0.3221

Values from the calculation:
Energy relative to the elements, uncorrected, eV per atom: -2.63
Symmetry: P2/m (10)
Calculated volume, A^3/atom: 18.08
Raw total energy, eV per atom: -6.51

=====

A plane-wave DFT calculation with PBE was carried out for a geometry-optimized RbNa2Ag2 structure.

Cell: 9.2805 9.2805 3.3912 Å, 90.00 90.00 90.00°
Fractional coordinates of all 10 atoms:
Rb1 0.0000 0.0000 0.0000
Rb2 0.5000 0.5000 0.0000
Na1 0.1230 0.3770 0.0000
Na2 0.3770 0.8770 0.0000
Na3 0.6230 0.1230 0.0000
Na4 0.8770 0.6230 0.0000
Ag1 0.1697 0.6697 0.5000
Ag2 0.3303 0.1697 0.5000
Ag3 0.6697 0.8303 0.5000
Ag4 0.8303 0.3303 0.5000

Values from the calculation:
Symmetry: P4/mbm (127)
E_form, eV per formula unit: 0.3
Calculated volume, A^3/atom: 29.21
Raw total energy, eV per atom: -1.81

=====

A plane-wave DFT calculation with PBE was carried out for a geometry-optimized CeMgSnPd structure.

Cell: 5.0487 5.0487 5.0487 Å, 60.00 60.00 60.00°
Fractional coordinates of all 4 atoms:
Ce1 0.0000 0.0000 0.0000
Mg1 0.5000 0.5000 0.5000
Sn1 0.2500 0.2500 0.2500
Pd1 0.7500 0.7500 0.7500

Values from the calculation:
Symmetry: F-43m (216)
E_form, eV per formula unit: -2.1
Calculated volume, A^3/atom: 22.75
Raw total energy, eV per atom: -4.71

=====

A plane-wave DFT calculation with PBE was carried out for a geometry-optimized V4N3 structure.

Cell: 9.4097 9.4097 9.4097 Å, 17.78 17.78 17.78°
Fractional coordinates of all 7 atoms:
V1 0.1217 0.1217 0.1217
V2 0.3757 0.3757 0.3757
V3 0.6243 0.6243 0.6243
V4 0.8783 0.8783 0.8783
N1 0.2546 0.2546 0.2546
N2 0.5000 0.5000 0.5000
N3 0.7454 0.7454 0.7454

Values from the calculation:
Energy relative to the elements, uncorrected, eV per atom: -0.93
Symmetry: R-3m (166)
Calculated volume, A^3/atom: 9.69
Raw total energy, eV per atom: -9.71

=====

A plane-wave DFT calculation with PBE was carried out for a geometry-optimized BaAgPb2Se4 structure.

Cell: 7.5399 7.5399 14.9372 Å, 90.00 90.00 145.69°
Fractional coordinates of all 16 atoms:
Ba1 0.1155 0.8845 0.7500
Ba2 0.8845 0.1155 0.2500
Ag1 0.1498 0.8502 0.2500
Ag2 0.8502 0.1498 0.7500
Pb1 0.3692 0.6308 0.5556
Pb2 0.3692 0.6308 0.9444
Pb3 0.6308 0.3692 0.0556
Pb4 0.6308 0.3692 0.4444
Se1 0.0000 0.0000 0.0000
Se2 0.0000 0.0000 0.5000
Se3 0.2750 0.7250 0.1187
Se4 0.2750 0.7250 0.3813
Se5 0.4464 0.5536 0.7500
Se6 0.5536 0.4464 0.2500
Se7 0.7250 0.2750 0.6187
Se8 0.7250 0.2750 0.8813

Values from the calculation:
Energy relative to the elements, uncorrected, eV per atom: -0.75
Symmetry: Cmcm (63)
Calculated volume, A^3/atom: 29.92
Raw total energy, eV per atom: -4.01

=====

A plane-wave DFT calculation with PBE was carried out for a geometry-optimized ZnCuBiRu2 structure.

Cell: 4.6470 4.6470 4.3107 Å, 90.00 90.00 90.00°
Fractional coordinates of all 5 atoms:
Zn1 0.0000 0.0000 0.0000
Cu1 0.0000 0.0000 0.5000
Bi1 0.5000 0.5000 0.5000
Ru1 0.0000 0.5000 0.0000
Ru2 0.5000 0.0000 0.0000

Values from the calculation:
Symmetry: P4/mmm (123)
E_form, eV per formula unit: 4.9
Calculated volume, A^3/atom: 18.62
Raw total energy, eV per atom: -4.59

=====

A plane-wave DFT calculation with PBE was carried out for a geometry-optimized Nd4Pb2O structure.

Cell: 6.6569 6.9440 9.6163 Å, 90.00 110.27 90.00°
Fractional coordinates of all 14 atoms:
Nd1 0.0353 0.0034 0.2968
Nd2 0.0353 0.4966 0.2968
Nd3 0.3465 0.2500 0.0444
Nd4 0.4345 0.2500 0.6617
Nd5 0.5655 0.7500 0.3383
Nd6 0.6535 0.7500 0.9556
Nd7 0.9647 0.5034 0.7032
Nd8 0.9647 0.9966 0.7032
Pb1 0.1927 0.7500 0.0262
Pb2 0.3480 0.7500 0.6010
Pb3 0.6520 0.2500 0.3990
Pb4 0.8073 0.2500 0.9738
O1 0.1955 0.2500 0.7880
O2 0.8045 0.7500 0.2120

Values from the calculation:
Energy relative to the elements, uncorrected, eV per atom: -1.15
Symmetry: P2_1/m (11)
Calculated volume, A^3/atom: 29.79
Raw total energy, eV per atom: -5.64

=====

A plane-wave DFT calculation with PBE was carried out for a geometry-optimized ZnP3F structure.

Cell: 4.5997 4.5997 4.5997 Å, 90.00 90.00 90.00°
Fractional coordinates of all 5 atoms:
Zn1 0.0000 0.0000 0.0000
P1 0.0000 0.0000 0.5000
P2 0.0000 0.5000 0.0000
P3 0.5000 0.0000 0.0000
F1 0.5000 0.5000 0.5000

Values from the calculation:
Energy relative to the elements, uncorrected, eV per atom: 0.88
Symmetry: Pm-3m (221)
Calculated volume, A^3/atom: 19.46
Raw total energy, eV per atom: -3.00

=====

A plane-wave DFT calculation with PBE was carried out for a geometry-optimized KHoP2S8 structure.

Cell: 9.8413 9.8413 9.8413 Å, 36.62 36.62 36.62°
Fractional coordinates of all 12 atoms:
K1 0.0000 0.0000 0.0000
Ho1 0.5000 0.5000 0.5000
P1 0.2448 0.2448 0.2448
P2 0.7552 0.7552 0.7552
S1 0.0762 0.4418 0.8104
S2 0.1896 0.9238 0.5582
S3 0.3187 0.3187 0.3187
S4 0.4418 0.8104 0.0762
S5 0.5582 0.1896 0.9238
S6 0.6813 0.6813 0.6813
S7 0.8104 0.0762 0.4418
S8 0.9238 0.5582 0.1896

Values from the calculation:
Energy relative to the elements, uncorrected, eV per atom: -0.59
Symmetry: R-3 (148)
Calculated volume, A^3/atom: 25.31
Raw total energy, eV per atom: -4.71

=====

A plane-wave DFT calculation with PBE was carried out for a geometry-optimized Mo2AsRh structure.

Cell: 2.8569 4.1096 5.3725 Å, 90.00 105.28 90.00°
Fractional coordinates of all 4 atoms:
Mo1 0.0000 0.0000 0.0000
Mo2 0.3573 0.5000 0.7211
As1 0.7504 0.0000 0.5039
Rh1 0.6204 0.5000 0.2425

Values from the calculation:
Symmetry: Pm (6)
E_form, eV per formula unit: -0.3
Calculated volume, A^3/atom: 15.21
Raw total energy, eV per atom: -8.48

=====

A plane-wave DFT calculation with PBE was carried out for a geometry-optimized NdTm2Tl structure.

Cell: 11.1857 11.1857 11.1857 Å, 18.30 18.30 18.30°
Fractional coordinates of all 4 atoms:
Nd1 0.0000 0.0000 0.0000
Tm1 0.2452 0.2452 0.2452
Tm2 0.7548 0.7548 0.7548
Tl1 0.5000 0.5000 0.5000

Values from the calculation:
Symmetry: R-3m (166)
E_form, eV per formula unit: -0.4
Calculated volume, A^3/atom: 30.13
Raw total energy, eV per atom: -4.13

=====

A plane-wave DFT calculation with PBE was carried out for a geometry-optimized ScHgMo2 structure.

Cell: 5.5221 5.5221 4.4537 Å, 112.28 112.28 36.75°
Fractional coordinates of all 4 atoms:
Sc1 0.0000 0.0000 0.0000
Hg1 0.5000 0.5000 0.5000
Mo1 0.2505 0.2505 0.7900
Mo2 0.7495 0.7495 0.2100

Values from the calculation:
Symmetry: C2/m (12)
E_form, eV per formula unit: 1.1
Calculated volume, A^3/atom: 18.62
Raw total energy, eV per atom: -6.80

=====

A plane-wave DFT calculation with PBE was carried out for a geometry-optimized CdRuPtI2 structure.

Cell: 5.4828 5.4828 5.1219 Å, 90.00 90.00 90.00°
Fractional coordinates of all 5 atoms:
Cd1 0.0000 0.0000 0.0000
Ru1 0.5000 0.5000 0.0000
Pt1 0.5000 0.5000 0.5000
I1 0.0000 0.5000 0.5000
I2 0.5000 0.0000 0.5000

Values from the calculation:
Energy relative to the elements, uncorrected, eV per atom: 0.84
Symmetry: P4/mmm (123)
Calculated volume, A^3/atom: 30.79
Raw total energy, eV per atom: -3.03

=====

A plane-wave DFT calculation with PBE was carried out for a geometry-optimized CrIr2Au structure.

Cell: 4.4141 4.4141 4.4141 Å, 60.00 60.00 60.00°
Fractional coordinates of all 4 atoms:
Cr1 0.0000 0.0000 0.0000
Ir1 0.2500 0.2500 0.2500
Ir2 0.7500 0.7500 0.7500
Au1 0.5000 0.5000 0.5000

Values from the calculation:
Symmetry: Fm-3m (225)
E_form, eV per formula unit: 1.5
Calculated volume, A^3/atom: 15.20
Raw total energy, eV per atom: -7.28

=====

A plane-wave DFT calculation with PBE was carried out for a geometry-optimized Ce5Te3Pb structure.

Cell: 9.5669 9.5669 6.4237 Å, 90.00 90.00 120.00°
Fractional coordinates of all 18 atoms:
Ce1 0.0000 0.2863 0.2500
Ce2 0.0000 0.7137 0.7500
Ce3 0.2863 0.0000 0.2500
Ce4 0.2863 0.2863 0.7500
Ce5 0.3333 0.6667 0.0000
Ce6 0.3333 0.6667 0.5000
Ce7 0.6667 0.3333 0.0000
Ce8 0.6667 0.3333 0.5000
Ce9 0.7137 0.0000 0.7500
Ce10 0.7137 0.7137 0.2500
Te1 0.0000 0.3797 0.7500
Te2 0.0000 0.6203 0.2500
Te3 0.3797 0.0000 0.7500
Te4 0.3797 0.3797 0.2500
Te5 0.6203 0.0000 0.2500
Te6 0.6203 0.6203 0.7500
Pb1 0.0000 0.0000 0.0000
Pb2 0.0000 0.0000 0.5000

Values from the calculation:
Energy relative to the elements, uncorrected, eV per atom: -0.95
Symmetry: P6_3/mcm (193)
Calculated volume, A^3/atom: 28.29
Raw total energy, eV per atom: -5.70

=====

A plane-wave DFT calculation with PBE was carried out for a geometry-optimized BiTeNO2 structure.

Cell: 4.2510 4.2510 4.4657 Å, 90.00 90.00 90.00°
Fractional coordinates of all 5 atoms:
Bi1 0.0000 0.0000 0.0000
Te1 0.5000 0.5000 0.5000
N1 0.0000 0.0000 0.5000
O1 0.0000 0.5000 0.0000
O2 0.5000 0.0000 0.0000

Values from the calculation:
Energy relative to the elements, uncorrected, eV per atom: 0.48
Symmetry: P4/mmm (123)
Calculated volume, A^3/atom: 16.14
Raw total energy, eV per atom: -4.57